Model w:
First-principles (GGA-PBEsol) data for crystalline PdPbS2N at its relaxed geometry, as listed in the Alexandria database.

POSCAR file:
```
PdPbS2N
1.0
4.967 0.000 0.000
0.000 4.967 0.000
0.000 0.000 3.680
Pd Pb S N
1 1 2 1
Direct
0.000 0.000 0.000
0.500 0.500 0.500
0.000 0.500 0.000
0.500 0.000 0.000
0.000 0.000 0.500
```

Computed properties:
Mass density in g/cm³: 7.2
DOS at the Fermi energy in states/eV/f.u.: 3.73
Magnetization in μB/cell: 0.0
Symmetry: P4/mmm (123)


Model x:
First-principles (GGA-PBEsol) data for crystalline PdPbS2N at its relaxed geometry, as listed in the Alexandria database.

POSCAR file:
```
PdPbS2N
1.0
5.124 0.000 0.000
0.000 5.124 0.000
0.000 0.000 4.189
Pd Pb S N
1 1 2 1
Direct
0.000 0.000 0.000
0.500 0.500 0.500
0.000 0.500 0.500
0.500 0.000 0.500
0.500 0.500 0.000
```

Computed properties:
Mass density in g/cm³: 5.9
DOS at the Fermi energy in states/eV/f.u.: 4.73
Magnetization in μB/cell: 2.8
Symmetry: P4/mmm (123)


Of them, the most stable is model w and the least stable is model x.


Model w:
First-principles (GGA-PBEsol) data for crystalline PbSe2N2 at its relaxed geometry, as listed in the Alexandria database.

POSCAR file:
```
PbSe2N2
1.0
4.031 0.000 0.000
0.000 4.031 0.000
0.000 0.000 5.180
Pb Se N
1 2 2
Direct
0.000 0.000 0.000
0.500 0.500 0.000
0.500 0.500 0.500
0.000 0.500 0.500
0.500 0.000 0.500
```

Computed properties:
Mass density in g/cm³: 7.8
DOS at the Fermi energy in states/eV/f.u.: 3.71
Magnetization in μB/cell: 0.7
Symmetry: P4/mmm (123)


Model x:
First-principles (GGA-PBEsol) data for crystalline PbSe2N2 at its relaxed geometry, as listed in the Alexandria database.

POSCAR file:
```
PbSe2N2
1.0
4.239 0.000 0.000
0.000 4.239 0.000
0.000 0.000 5.833
Pb Se N
1 2 2
Direct
0.000 0.000 0.000
0.000 0.000 0.500
0.500 0.500 0.500
0.000 0.500 0.000
0.500 0.000 0.000
```

Computed properties:
Mass density in g/cm³: 6.2
DOS at the Fermi energy in states/eV/f.u.: 2.25
Magnetization in μB/cell: 3.3
Symmetry: P4/mmm (123)


Of them, the most stable is model w and the least stable is model x.